Here is Na2NdNiF8 after structural relaxation from Alexandria. Energies are from GGA+U.

Computed properties:
Space-group type: P2/m
DOS at the Fermi energy in states/eV/cell: 0.000
DFT total energy in eV/atom: -4.891

Unit cell a=4.3737 b=5.3998 c=7.0345 alpha=90.01 beta=89.99 gamma=92.37
Sites, in units of the cell vectors:
Na 0.5000 0.5000 0.7689
Na 0.5000 0.5000 0.2311
Nd 0.0000 0.0000 0.5000
Ni 0.0000 0.0000 0.0000
F 0.1210 0.7886 0.2169
F 0.6560 0.7873 0.0000
F 0.8789 0.2113 0.2169
F 0.8790 0.2114 0.7831
F 0.3440 0.2127 0.0000
F 0.1211 0.7887 0.7831
F 0.5608 0.7539 0.5000
F 0.4392 0.2461 0.5000



Here is Na2NdNi3F12 after structural relaxation from Alexandria. Energies are from GGA+U.

Computed properties:
Space-group type: R-3m
DOS at the Fermi energy in states/eV/cell: 6.655
DFT total energy in eV/atom: -4.664

Unit cell a=6.7604 b=6.7604 c=6.7604 alpha=66.38 beta=66.38 gamma=66.38
Sites, in units of the cell vectors:
Na 0.6338 0.6338 0.6338
Na 0.3661 0.3661 0.3661
Nd 0.0000 0.0000 0.0000
Ni 0.5000 0.0000 0.0000
Ni 0.0000 0.5000 0.0000
Ni 0.0000 0.0000 0.5000
F 0.2596 0.2596 0.8885
F 0.8573 0.8573 0.4178
F 0.4178 0.8573 0.8573
F 0.8885 0.2596 0.2596
F 0.8573 0.4178 0.8573
F 0.2596 0.8885 0.2596
F 0.7404 0.7404 0.1115
F 0.1427 0.1427 0.5822
F 0.5822 0.1427 0.1427
F 0.1115 0.7404 0.7404
F 0.1427 0.5822 0.1427
F 0.7404 0.1115 0.7404